The following is a DFT calculation (PBE with a Hubbard U) of a relaxed MnCoBrF crystal.

Calculated density = 4.24 g/cm3
Offset from the most stable computed form = 0.88 eV/f.u.
V = 83 Å³/f.u.
Total moment = 13.6 Bohr magnetons per cell

Lattice parameters (Å, degrees): 6.1904 3.5725 7.8162 90.00 105.19 90.00
With the nearest neighbours (Å) after each atom.
Space group Cm (No. 8)
Inequivalent atoms, fractional coordinates:
Mn1 0.0000 0.0000 0.0000 [2 per cell]  1 F 1.85
Co1 0.2497 0.0000 0.7476 [2 per cell]  3 Br 2.45
Br1 0.3584 0.5000 0.5724 [2 per cell]  3 Co 2.45
F1 0.0845 0.0000 0.2458 [2 per cell]  1 Mn 1.85